Record 1
Density functional theory data (PBE-GGA) for Sm2Dy4N after structural relaxation.

Geometry as POSCAR:
```
Sm2Dy4N
1.0
-2.397 2.397 8.873
2.397 -2.397 8.873
2.397 2.397 -8.873
Sm Dy N
2 4 1
Cartesian
0.000 0.000 3.047 Sm
0.000 0.000 14.699 Sm
2.397 0.000 0.000 Dy
0.000 0.000 6.538 Dy
0.000 2.397 0.000 Dy
0.000 0.000 11.208 Dy
0.000 0.000 8.873 N
```

Calculated values
Total magnetic moment ... 0.00 μB/f.u.
Energy ... -5.4501 eV/atom
E_form (uncorrected) ... -0.28 eV per atom
Density ... 7.9 g/cm³
Space group ... I4/mmm, No. 139

Record 2
Density functional theory data (PBE-GGA) for Sm2Dy3N4 after structural relaxation.

Geometry as POSCAR:
```
Sm2Dy3N4
1.0
5.859 -1.755 0.000
5.859 1.755 0.000
-4.264 0.000 7.595
Sm Dy N
2 3 4
Cartesian
-0.427 0.000 2.942 Sm
7.882 0.000 4.654 Sm
2.640 0.000 1.408 Dy
5.859 0.000 0.000 Dy
4.815 0.000 6.187 Dy
-2.638 0.000 6.885 N
0.530 0.000 5.346 N
6.924 0.000 2.249 N
10.093 0.000 0.710 N
```

Calculated values
Total magnetic moment ... 0.00 μB/f.u.
Energy ... -7.7147 eV/atom
E_form (uncorrected) ... -1.43 eV per atom
Density ... 9.0 g/cm³
Space group ... C2/m, No. 12

Record 3
Density functional theory data (PBE-GGA) for Sm2DySnN4 after structural relaxation.

Geometry as POSCAR:
```
Sm2DySnN4
1.0
6.080 0.000 0.000
0.000 3.532 0.000
-2.085 0.000 5.768
Sm Dy Sn N
2 1 1 4
Cartesian
0.000 0.000 0.000 Sm
-1.042 1.766 2.884 Sm
1.998 0.000 2.884 Dy
3.040 1.766 0.000 Sn
0.992 1.766 1.492 N
-0.017 0.000 4.303 N
4.013 0.000 1.464 N
3.003 1.766 4.276 N
```

Calculated values
Total magnetic moment ... 0.00 μB/f.u.
Energy ... -7.3878 eV/atom
E_form (uncorrected) ... -0.97 eV per atom
Density ... 8.6 g/cm³
Space group ... P2/m, No. 10